Model A:
Material: PuHfP2
Method: DFT, PBE
State: optimized geometry

a = 3.695 Å, b = 3.695 Å, c = 12.993 Å
α = 90.00°, β = 90.00°, γ = 120.00°
Atoms (fractional coordinates):
Hf (0.000, 0.000, 0.127)
Hf (0.000, 0.000, 0.873)
P (0.333, 0.667, 0.000)
P (0.667, 0.333, 0.240)
P (0.000, 0.000, 0.500)
P (0.667, 0.333, 0.760)
Pu (0.333, 0.667, 0.367)
Pu (0.333, 0.667, 0.633)

The value obtained for the total moment is 9.90 Bohr magnetons per cell.



Model B:
Material: PuHfP2
Method: DFT, PBE
State: optimized geometry

a = 6.669 Å, b = 6.669 Å, c = 6.669 Å
α = 33.40°, β = 33.40°, γ = 33.40°
Atoms (fractional coordinates):
Hf (0.500, 0.500, 0.500)
P (0.245, 0.245, 0.245)
P (0.755, 0.755, 0.755)
Pu (0.000, 0.000, 0.000)

The value obtained for the total moment is 5.15 Bohr magnetons per cell.



Most stable: model B



Model A:
Material: HfPa
Method: DFT, PBE
State: optimized geometry

a = 4.470 Å, b = 4.470 Å, c = 4.470 Å
α = 60.00°, β = 60.00°, γ = 60.00°
Atoms (fractional coordinates):
Hf (0.000, 0.000, 0.000)
Pa (0.250, 0.250, 0.250)

The value obtained for the total moment is 0.70 Bohr magnetons per cell.



Model B:
Material: HfPa
Method: DFT, PBE
State: optimized geometry

a = 3.168 Å, b = 3.168 Å, c = 5.465 Å
α = 90.00°, β = 90.00°, γ = 120.00°
Atoms (fractional coordinates):
Hf (0.667, 0.333, 0.750)
Pa (0.333, 0.667, 0.250)

The value obtained for the total moment is 0.01 Bohr magnetons per cell.



Most stable: model B